# PrGa5Pd2Au

An optimized crystal structure of PrGa5Pd2Au (GGA-PBE, Alexandria via LeMat-Bulk).

* total moment: 0.000 μB/cell
* uncorrected energy: -4.086 eV/atom
* calculated formation energy: -0.355 eV/atom

abc: 4.3448 4.3448 10.3479
angles: 90.00 90.00 90.00
Space group P4/mmm (No. 123)
Symmetry-distinct sites (fractional):
Pr1 0.0000 0.0000 0.0000 [1 per cell]
Ga1 0.0000 0.5000 0.3456 [4 per cell]
Ga2 0.5000 0.5000 0.0000 [1 per cell]
Pd1 0.5000 0.5000 0.2272 [2 per cell]
Au1 0.0000 0.0000 0.5000 [1 per cell]